## Rb2RuBrCl6 (PBE-GGA)

Data for Rb2RuBrCl6 after structural relaxation.

Results
As for the calculated volume: 332 Å³ per cell. The value obtained for the density of states at the Fermi level is 0.4053 states/eV/atom. The value obtained for the raw formation energy is -0.954 eV per atom.

Unit cell a=7.800 b=7.800 c=7.800 alpha=120.60 beta=120.60 gamma=88.96
Positions (direct):
1 Rb 0.250 0.750 0.500
2 Rb 0.750 0.250 0.500
3 Ru 0.000 0.000 0.000
4 Br 0.500 0.500 0.000
5 Cl 0.211 0.211 0.000
6 Cl 0.215 0.215 0.430
7 Cl 0.215 0.785 0.000
8 Cl 0.785 0.215 0.000
9 Cl 0.785 0.785 0.570
10 Cl 0.789 0.789 0.000